Entry 1:
The following is a GGA-PBE calculation of crystalline Li3Ac2MnPd12 at its relaxed geometry, from Alexandria.

Unit cell a=10.651 b=10.651 c=10.651 alpha=34.01 beta=34.01 gamma=34.01
Last column: magnetic moment on the atom in μB.
Atoms (fractional coordinates):
Pd  0.882  0.407  0.882  0.10
Pd  0.407  0.882  0.882  0.10
Pd  0.882  0.882  0.407  0.10
Pd  0.400  0.832  0.400  0.02
Pd  0.168  0.600  0.600  0.02
Pd  0.832  0.400  0.400  0.02
Pd  0.593  0.118  0.118  0.10
Pd  0.600  0.600  0.168  0.02
Pd  0.400  0.400  0.832  0.02
Pd  0.118  0.118  0.593  0.10
Pd  0.118  0.593  0.118  0.10
Pd  0.600  0.168  0.600  0.02
Li  0.000  0.500  0.000  0.00
Li  0.500  0.000  0.000  0.00
Li  0.000  0.000  0.500  0.00
Ac  0.367  0.367  0.367  -0.01
Ac  0.633  0.633  0.633  -0.01
Mn  0.000  0.000  0.000  3.77

Calculated values
Spin magnetization, Bohr magnetons per cell: 4.669
Formation energy, kJ/mol of formula units: -467
Electronic total energy, hartree per atom: -0.1843

---

Entry 2:
The following is a GGA-PBE calculation of crystalline LiAcPmMn at its relaxed geometry, from Alexandria.

Unit cell a=5.367 b=5.367 c=5.367 alpha=60.00 beta=60.00 gamma=60.00
Last column: magnetic moment on the atom in μB.
Atoms (fractional coordinates):
Mn  0.250  0.250  0.250  3.55
Li  0.750  0.750  0.750  -0.04
Pm  0.500  0.500  0.500  -0.25
Ac  0.000  0.000  0.000  -0.11

Calculated values
Spin magnetization, Bohr magnetons per cell: 2.898
Formation energy, kJ/mol of formula units: 78
Electronic total energy, hartree per atom: -0.1758

---

Entry 3:
The following is a GGA-PBE calculation of crystalline LiAc2MnS5 at its relaxed geometry, from Alexandria.

Unit cell a=4.111 b=8.715 c=11.677 alpha=90.00 beta=90.00 gamma=103.64
Last column: magnetic moment on the atom in μB.
Atoms (fractional coordinates):
S  0.303  0.606  0.363  0.02
S  0.287  0.574  0.651  0.00
S  0.929  0.858  0.549  0.00
S  0.697  0.394  0.863  0.02
S  0.348  0.696  0.005  -0.02
S  0.499  0.998  0.778  0.01
S  0.071  0.142  0.049  0.00
S  0.713  0.426  0.151  0.00
S  0.501  0.002  0.278  0.01
S  0.652  0.304  0.505  -0.02
Mn  0.795  0.590  0.517  3.67
Mn  0.205  0.410  0.017  3.67
Ac  0.884  0.767  0.201  0.01
Ac  0.116  0.233  0.701  0.01
Ac  0.129  0.258  0.302  0.02
Ac  0.871  0.742  0.802  0.02
Li  0.434  0.867  0.458  0.01
Li  0.566  0.133  0.958  0.01

Calculated values
Spin magnetization, Bohr magnetons per cell: 8.005
Electronic total energy, hartree per atom: -0.2197
Formation energy without anion corrections, eV/atom: -1.542

---

Entry 4:
The following is a GGA-PBE calculation of crystalline LiAc2MnS6 at its relaxed geometry, from Alexandria.

Unit cell a=6.406 b=6.779 c=9.456 alpha=90.00 beta=90.00 gamma=90.00
Last column: magnetic moment on the atom in μB.
Atoms (fractional coordinates):
S  0.746  0.493  0.500  -0.01
S  0.254  0.493  0.500  -0.01
S  0.754  0.507  0.000  -0.01
S  0.247  0.995  0.000  -0.01
S  0.253  0.005  0.500  -0.01
S  0.000  0.752  0.244  -0.02
S  0.747  0.005  0.500  -0.01
S  0.500  0.248  0.256  -0.02
S  0.753  0.995  0.000  -0.01
S  0.246  0.507  0.000  -0.01
S  0.500  0.248  0.744  -0.02
S  0.000  0.752  0.756  -0.02
Mn  0.500  0.249  0.500  2.79
Mn  0.000  0.751  0.000  2.79
Li  0.500  0.252  0.000  -0.01
Li  0.000  0.748  0.500  -0.01
Ac  0.000  0.249  0.254  0.02
Ac  0.000  0.249  0.746  0.02
Ac  0.500  0.751  0.754  0.02
Ac  0.500  0.751  0.246  0.02

Calculated values
Spin magnetization, Bohr magnetons per cell: 5.972
Electronic total energy, hartree per atom: -0.2107
Formation energy without anion corrections, eV/atom: -1.326

---

Entry 5:
The following is a GGA-PBE calculation of crystalline Li2AcMnS4 at its relaxed geometry, from Alexandria.

Unit cell a=6.043 b=6.043 c=6.043 alpha=103.61 beta=112.48 gamma=112.48
Last column: magnetic moment on the atom in μB.
Atoms (fractional coordinates):
Li  0.500  0.250  0.750  0.01
Li  0.500  0.750  0.250  0.01
Mn  0.000  0.500  0.500  3.45
Ac  0.000  0.000  0.000  0.05
S  0.585  0.445  0.445  0.00
S  0.000  0.555  0.141  0.00
S  0.000  0.141  0.555  0.00
S  0.415  0.859  0.859  0.00

Calculated values
Spin magnetization, Bohr magnetons per cell: 4.000
Electronic total energy, hartree per atom: -0.2021
Formation energy without anion corrections, eV/atom: -1.298

---

Entry 6:
The following is a GGA-PBE calculation of crystalline Li3Ac2MnS6 at its relaxed geometry, from Alexandria.

Unit cell a=7.194 b=7.194 c=6.631 alpha=98.33 beta=98.33 gamma=121.73
Last column: magnetic moment on the atom in μB.
Atoms (fractional coordinates):
S  0.335  0.060  0.230  -0.03
S  0.940  0.665  0.770  -0.03
S  0.259  0.259  0.737  0.04
S  0.060  0.335  0.230  -0.03
S  0.665  0.940  0.770  -0.03
S  0.741  0.741  0.263  0.04
Ac  0.333  0.667  0.000  0.01
Ac  0.667  0.333  0.000  0.01
Li  0.111  0.889  0.500  0.00
Li  0.889  0.111  0.500  0.00
Li  0.500  0.500  0.500  0.01
Mn  0.000  0.000  0.000  3.71

Calculated values
Spin magnetization, Bohr magnetons per cell: 4.000
Electronic total energy, hartree per atom: -0.1989
Formation energy without anion corrections, eV/atom: -1.422